{"formula": "BeRe5", "functional": "PBE", "state": "relaxed", "lattice": [[-3.792, 3.139, 0.636], [-0.823, -4.894, -0.119], [0.596, -0.213, 4.601]], "species": ["Be", "Re", "Re", "Re", "Re", "Re"], "frac_coords": [[0.000, 0.000, 0.000], [0.667, 0.333, 0.000], [0.333, 0.667, 0.000], [0.500, 0.000, 0.500], [0.000, 0.500, 0.500], [0.500, 0.500, 0.500]], "final_energy_ev_per_atom": -10.231, "space_group": "P6/mmm, No. 191", "crystal_system": "hexagonal"}

{"formula": "SmBeIr", "functional": "PBE", "state": "relaxed", "lattice": [[2.242, 1.295, 3.661], [-2.242, 1.295, 3.661], [0.000, -2.589, 3.661]], "species": ["Be", "Ir", "Sm"], "frac_coords": [[0.750, 0.750, 0.750], [0.000, 0.000, 0.000], [0.250, 0.250, 0.250]], "space_group": "F-43m, No. 216", "relative_energy_mev_per_atom": 86, "crystal_system": "cubic"}